A relaxed Ca2PrZn2In2 crystal. Source: the Alexandria database, functional GGA-PBE.

Values from the calculation:
As for the magnetic moment: 0.0 Bohr magnetons per cell. As for the energy of formation from the pure elements: -346 meV per atom. The calculated density is 5.01 g cm⁻³. The density of states at the Fermi level comes out at 0.456 states/eV per atom. The space-group type is R-3m, No. 166.

abc: 4.774 4.774 10.145
angles: 76.39 76.39 60.00
Atoms (fractional coordinates):
Ca 0.126 0.126 0.623
Zn 0.393 0.393 0.821
In 0.263 0.263 0.210
Pr 0.000 0.000 0.000
Ca 0.874 0.874 0.377
In 0.737 0.737 0.790
Zn 0.607 0.607 0.179